This record from the Alexandria database describes ZnGa5Ag8 after structural relaxation. The functional is PBE.

a b c (Å): 6.9944 6.9944 6.9944
angles (deg): 113.55 101.59 113.55
Closest atoms and distances in Å follow each position.
Positions (direct):
Ga  0.8164  0.6384  0.7124  7 Ag 2.74-3.01, 2 Ga 3.04
Ga  0.0740  0.3616  0.1780  7 Ag 2.74-3.01, 2 Ga 3.04
Ga  0.2876  0.1040  0.9260  7 Ag 2.74-3.01, 2 Ga 3.04
Ga  0.5000  0.0000  0.5000  8 Ag 2.66-2.77
Ga  0.8220  0.8960  0.1836  7 Ag 2.74-3.01, 2 Ga 3.04
Zn  0.2500  0.5000  0.7500  4 Ag 2.55
Ag  0.5801  0.8930  0.8207  1 Zn 2.55, 2 Ga 2.66-2.74, 1 Ag 2.85
Ag  0.1793  0.7594  0.0723  1 Zn 2.55, 2 Ga 2.66-2.74, 1 Ag 2.85
Ag  0.6918  0.2406  0.2927  5 Ga 2.76-2.91, 5 Ag 2.91-3.03
Ag  0.0521  0.7594  0.4512  5 Ga 2.76-2.91, 5 Ag 2.91-3.03
Ag  0.9277  0.1070  0.6871  1 Zn 2.55, 2 Ga 2.66-2.74, 1 Ag 2.85
Ag  0.3129  0.2406  0.4199  1 Zn 2.55, 2 Ga 2.66-2.74, 1 Ag 2.85
Ag  0.5488  0.6009  0.3082  5 Ga 2.76-2.91, 5 Ag 2.91-3.03
Ag  0.7073  0.3991  0.9479  5 Ga 2.76-2.91, 5 Ag 2.91-3.03

Summary:
The crystal system is tetragonal. Its space group is I-4. The calculation puts the energy relative to the elements at 0.0672 eV per atom. The calculation puts the density of states at the Fermi level at 2.27 states/eV/cell.

=====

This record from the Alexandria database describes LiZnCr after structural relaxation. The functional is PBE.

a b c (Å): 2.5586 4.7587 6.7707
angles (deg): 100.12 94.36 92.64
Closest atoms and distances in Å follow each position.
Positions (direct):
Zn  0.5922  0.4391  0.6768  3 Zn 2.56-2.58, 3 Li 2.58-2.77, 5 Cr 2.62-2.77
Zn  0.4078  0.5609  0.3232  3 Zn 2.56-2.58, 3 Li 2.58-2.77, 5 Cr 2.62-2.77
Cr  0.0981  0.9338  0.6332  1 Cr 2.05
Cr  0.9019  0.0662  0.3668  1 Cr 2.05
Li  0.2327  0.7573  0.9946  5 Li 2.56-2.69, 3 Zn 2.58-2.77, 1 Cr 2.73
Li  0.7673  0.2427  0.0054  5 Li 2.56-2.69, 3 Zn 2.58-2.77, 1 Cr 2.73

Summary:
The crystal system is triclinic. Its space group is P-1. The calculation puts the energy relative to the elements at 0.1770 eV per atom. The calculation puts the density of states at the Fermi level at 3.83 states/eV/cell. For the offset from the most stable computed form, the calculation gives 9.9 kJ/mol of atoms.

=====

This record from the Alexandria database describes Sm5Tm4 after structural relaxation. The functional is PBE.

a b c (Å): 5.0427 6.1690 10.7046
angles (deg): 95.63 76.38 65.88
Closest atoms and distances in Å follow each position.
Positions (direct):
Sm  0.0000  0.0000  0.0000  6 Sm 3.56-3.58, 6 Tm 3.57-3.58
Sm  0.7774  0.5572  0.8879  6 Sm 3.56-3.59, 6 Tm 3.56-3.58
Sm  0.1115  0.2222  0.5548  8 Tm 3.54-3.56, 4 Sm 3.56
Sm  0.8885  0.7778  0.4452  8 Tm 3.54-3.56, 4 Sm 3.56
Sm  0.2226  0.4428  0.1121  6 Sm 3.56-3.59, 6 Tm 3.56-3.58
Tm  0.3333  0.6672  0.6663  4 Tm 3.56, 8 Sm 3.56-3.57
Tm  0.5559  0.1118  0.7763  9 Sm 3.54-3.58, 3 Tm 3.56
Tm  0.6667  0.3328  0.3337  4 Tm 3.56, 8 Sm 3.56-3.57
Tm  0.4441  0.8882  0.2237  9 Sm 3.54-3.58, 3 Tm 3.56

Summary:
The crystal system is monoclinic. Its space group is C2/m. The calculation puts the energy relative to the elements at 0.0208 eV per atom. The calculation puts the density of states at the Fermi level at 12.41 states/eV/cell.

=====

This record from the Alexandria database describes Ho4As2N after structural relaxation. The functional is PBE.

a b c (Å): 4.5065 4.5065 8.2307
angles (deg): 74.11 74.11 90.00
Closest atoms and distances in Å follow each position.
Positions (direct):
Ho  0.5000  0.0000  0.0000  2 N 2.25
Ho  0.0000  0.5000  0.0000  2 N 2.25
Ho  0.1700  0.1700  0.6601  1 N 2.58
Ho  0.8300  0.8300  0.3399  1 N 2.58
As  0.3615  0.3615  0.2771  9 Ho 2.91-3.22
As  0.6385  0.6385  0.7229  9 Ho 2.91-3.22
N  0.0000  0.0000  0.0000  4 Ho 2.25

Summary:
The crystal system is tetragonal. The uncorrected formation energy comes out at -1.153 eV per atom. Its space group is I4/mmm. The calculation puts the density of states at the Fermi level at 6.27 states/eV/cell.

=====

This record from the Alexandria database describes Cs3H5Se2 after structural relaxation. The functional is PBE.

a b c (Å): 9.1787 10.5912 10.5912
angles (deg): 39.92 64.32 64.32
Closest atoms and distances in Å follow each position.
Positions (direct):
Cs  0.8728  0.5893  0.6651  4 H 2.98-3.22
Cs  0.6272  0.3349  0.4107  4 H 2.98-3.22
Cs  0.2500  0.0000  0.0000  2 H 2.90
Cs  0.7500  0.0000  0.0000  2 H 2.90
Cs  0.3728  0.6651  0.5893  4 H 2.98-3.22
Cs  0.1272  0.4107  0.3349  4 H 2.98-3.22
Se  0.8424  0.1134  0.2019  1 H 1.48
Se  0.6576  0.7981  0.8866  1 H 1.48
Se  0.1576  0.8866  0.7981  1 H 1.48
Se  0.3424  0.2019  0.1134  1 H 1.48
H  0.2500  0.5000  0.5000  4 Cs 3.22
H  0.7146  0.8905  0.6803  1 Se 1.48
H  0.7854  0.3197  0.1095  1 Se 1.48
H  0.0856  0.1644  0.1644  2 Se 2.32, 2 H 2.57
H  0.2854  0.1095  0.3197  1 Se 1.48
H  0.5856  0.1644  0.1644  2 Se 2.32, 2 H 2.57
H  0.7500  0.5000  0.5000  4 Cs 3.22
H  0.4144  0.8356  0.8356  2 Se 2.32, 2 H 2.57
H  0.9144  0.8356  0.8356  2 Se 2.32, 2 H 2.57
H  0.2146  0.6803  0.8905  1 Se 1.48

Summary:
The crystal system is orthorhombic. Its space group is Ibam.

=====

This record from the Alexandria database describes Mg2Cd3Sb3 after structural relaxation. The functional is PBE.

a b c (Å): 5.0097 7.8285 15.2810
angles (deg): 89.34 90.00 108.66
Closest atoms and distances in Å follow each position.
Positions (direct):
Cd  0.7243  0.4486  0.5773  4 Sb 2.87-3.15, 1 Mg 3.20
Cd  0.0471  0.0942  0.4053  3 Sb 2.84-3.00, 1 Mg 3.15
Cd  0.2380  0.4759  0.7508  4 Sb 2.94-3.04
Cd  0.7621  0.5243  0.2468  4 Sb 2.94-3.00
Cd  0.0505  0.1010  0.1010  3 Sb 2.83-2.99
Cd  0.9579  0.9158  0.8964  3 Sb 2.85-3.06
Sb  0.8415  0.6830  0.7480  2 Mg 2.79-2.99, 3 Cd 2.87-2.94
Sb  0.1470  0.2939  0.9279  3 Cd 2.85-3.01, 3 Mg 2.88-2.96
Sb  0.8542  0.7084  0.4201  3 Cd 2.87-3.06, 3 Mg 2.89-2.92
Sb  0.1297  0.2593  0.5835  2 Mg 2.82-3.02, 4 Cd 2.87-3.04
Sb  0.1581  0.3162  0.2527  4 Cd 2.83-2.94, 2 Mg 3.08
Sb  0.8619  0.7238  0.0751  3 Cd 2.83-3.06, 3 Mg 2.87-2.99
Mg  0.2578  0.5156  0.4286  4 Sb 2.89-3.08, 1 Cd 3.15
Mg  0.7422  0.4844  0.9191  4 Sb 2.88-2.99, 1 Cd 3.21
Mg  0.9397  0.8794  0.5914  3 Sb 2.79-2.92
Mg  0.2681  0.5362  0.0805  4 Sb 2.87-3.08

Summary:
The crystal system is monoclinic. The uncorrected formation energy comes out at -0.056 eV per atom. Its space group is Cm. The calculation puts the density of states at the Fermi level at 3.42 states/eV/cell.

=====

This record from the Alexandria database describes LiMnBe2 after structural relaxation. The functional is PBE.

a b c (Å): 3.8736 3.8737 3.8737
angles (deg): 60.00 60.00 60.00
Closest atoms and distances in Å follow each position.
Positions (direct):
Be  0.2500  0.2500  0.2500  4 Li 2.37, 4 Be 2.37
Be  0.0000  0.0000  0.0000  4 Be 2.37, 4 Mn 2.37
Li  0.5000  0.5000  0.5000  4 Mn 2.37, 4 Be 2.37
Mn  0.7500  0.7500  0.7500  4 Li 2.37, 4 Be 2.37

Summary:
The crystal system is cubic. Its space group is F-43m. The calculation puts the energy relative to the elements at 0.1761 eV per atom. The calculation puts the density of states at the Fermi level at 0.67 states/eV/cell.

=====

This record from the Alexandria database describes Sr3Tl2Cd3 after structural relaxation. The functional is PBE.

a b c (Å): 5.0891 7.7324 7.7324
angles (deg): 120.00 90.00 90.00
Closest atoms and distances in Å follow each position.
Positions (direct):
Cd  0.0000  0.0000  0.2245  2 Cd 3.01, 2 Tl 3.09
Cd  0.0000  0.2245  0.0000  2 Cd 3.01, 2 Tl 3.09
Cd  0.0000  0.7755  0.7755  2 Cd 3.01, 2 Tl 3.09
Sr  0.5000  0.6241  0.0000  4 Tl 3.52, 4 Cd 3.59
Sr  0.5000  0.0000  0.6241  4 Tl 3.52, 4 Cd 3.59
Sr  0.5000  0.3759  0.3759  4 Tl 3.52, 4 Cd 3.59
Tl  0.0000  0.3333  0.6667  3 Cd 3.09
Tl  0.0000  0.6667  0.3333  3 Cd 3.09

Summary:
The crystal system is hexagonal. Its space group is P-62m. The calculation puts the energy relative to the elements at -0.2791 eV per atom. The calculation puts the density of states at the Fermi level at 7.08 states/eV/cell.

=====

This record from the Alexandria database describes Dy6GaNi after structural relaxation. The functional is PBE.

a b c (Å): 6.6042 6.6042 6.6081
angles (deg): 101.68 101.68 118.87
Closest atoms and distances in Å follow each position.
Positions (direct):
Ni  0.5000  0.5000  0.5000  6 Dy 2.60-2.77
Dy  0.5389  0.9181  0.7452  1 Ni 2.77, 1 Ga 2.89
Dy  0.0819  0.4611  0.2548  1 Ni 2.77, 1 Ga 2.89
Dy  0.7349  0.7349  0.2680  1 Ni 2.60
Dy  0.2651  0.2651  0.7320  1 Ni 2.60
Dy  0.4611  0.0819  0.2548  1 Ni 2.77, 1 Ga 2.89
Dy  0.9181  0.5389  0.7452  1 Ni 2.77, 1 Ga 2.89
Ga  0.0000  0.0000  0.0000  6 Dy 2.89-2.97

Summary:
The crystal system is monoclinic. Its space group is C2/m. The calculation puts the energy relative to the elements at -0.0596 eV per atom. The calculation puts the density of states at the Fermi level at 10.70 states/eV/cell.

=====

This record from the Alexandria database describes KAlSb2Cl after structural relaxation. The functional is PBE.

a b c (Å): 5.4903 5.4903 5.5247
angles (deg): 90.00 90.00 90.00
Closest atoms and distances in Å follow each position.
Positions (direct):
Sb  0.0000  0.5000  0.0000  2 Cl 2.75
Sb  0.5000  0.0000  0.0000  2 Cl 2.75
Cl  0.0000  0.0000  0.0000  4 Sb 2.75, 2 K 2.76
K  0.0000  0.0000  0.5000  2 Cl 2.76
Al  0.5000  0.5000  0.5000  4 K 3.88, 8 Sb 3.89

Summary:
The crystal system is tetragonal. The uncorrected formation energy comes out at 0.284 eV per atom. Its space group is P4/mmm. The calculation puts the density of states at the Fermi level at 3.10 states/eV/cell.

=====

This record from the Alexandria database describes CsNF after structural relaxation. The functional is PBE.

a b c (Å): 4.2176 4.3386 4.5614
angles (deg): 66.69 80.83 87.24
Closest atoms and distances in Å follow each position.
Positions (direct):
F  0.8856  0.0776  0.1720  1 N 1.49
N  0.8274  0.9692  0.9127  1 F 1.49
Cs  0.3722  0.5773  0.6256  3 F 3.03-3.25, 5 N 3.15-3.34

Summary:
The crystal system is triclinic. The uncorrected formation energy comes out at -0.019 eV per atom. Its space group is P1. The calculation puts the density of states at the Fermi level at 0.28 states/eV/cell. For the offset from the most stable computed form, the calculation gives 165.9 kJ/mol of atoms.

=====

This record from the Alexandria database describes RbNCl2 after structural relaxation. The functional is PBE.

a b c (Å): 5.0849 5.0849 5.0849
angles (deg): 75.08 75.08 75.08
Closest atoms and distances in Å follow each position.
Positions (direct):
Rb  0.0000  0.0000  0.0000  8 Cl 3.34-3.59
N  0.5000  0.5000  0.5000  2 Cl 2.08
Cl  0.3079  0.3079  0.3079  1 N 2.08
Cl  0.6921  0.6921  0.6921  1 N 2.08

Summary:
The crystal system is trigonal. The uncorrected formation energy comes out at 0.123 eV per atom. Its space group is R-3m. The calculation puts the density of states at the Fermi level at 0.00 states/eV/cell. For the offset from the most stable computed form, the calculation gives 29.5 kJ/mol of atoms.

=====

Number 1: total energy -0.20096 Ry/atom. Number 2: total energy -0.30086 Ry/atom. Number 3: total energy -0.33723 Ry/atom. Number 4: total energy -0.46203 Ry/atom. Number 5: total energy -0.19988 Ry/atom. Number 6: total energy -0.17228 Ry/atom. Number 7: total energy -0.32765 Ry/atom. Number 8: total energy -0.13557 Ry/atom. Number 9: total energy -0.33899 Ry/atom. Number 10: total energy -0.19864 Ry/atom. Number 11: total energy -0.27209 Ry/atom. Number 12: total energy -0.22955 Ry/atom.